## i
First-principles (GGA-PBEsol) data for MgSi2Pb after structural relaxation, as listed in Alexandria.

Properties
DOS at the Fermi energy, states/eV/f.u.: 1.8

Cell and atoms, written as POSCAR:
```
MgSi2Pb
1.0
-2.098 2.098 4.581
2.098 -2.098 4.581
2.098 2.098 -4.581
Mg Si Pb
1 2 1
Cartesian
0.000 0.000 0.000
2.098 0.000 2.290
0.000 2.098 2.290
0.000 0.000 4.581
```

## ii
First-principles (GGA-PBEsol) data for MgSi2Pb after structural relaxation, as listed in Alexandria.

Properties
DOS at the Fermi energy, states/eV/f.u.: 2.5

Cell and atoms, written as POSCAR:
```
MgSi2Pb
1.0
0.000 3.470 3.470
3.470 0.000 3.470
3.470 3.470 0.000
Mg Si Pb
1 2 1
Cartesian
0.000 0.000 0.000
1.735 1.735 1.735
5.204 5.204 5.204
3.470 3.470 3.470
```

## iii
First-principles (GGA-PBEsol) data for MgSi2Pb after structural relaxation, as listed in Alexandria.

Properties
DOS at the Fermi energy, states/eV/f.u.: 1.6

Cell and atoms, written as POSCAR:
```
MgSi2Pb
1.0
3.683 0.000 0.000
0.000 3.683 0.000
0.000 0.000 6.132
Mg Si Pb
1 2 1
Cartesian
0.000 0.000 0.000
1.842 1.842 1.186
1.842 1.842 4.945
0.000 0.000 3.066
```

Which one sits at the bottom of the stability order? ii does.

## i
First-principles (GGA-PBEsol) data for Mg2Sn2Pb after structural relaxation, as listed in Alexandria.

Properties
DOS at the Fermi energy, states/eV/f.u.: 1.6

Cell and atoms, written as POSCAR:
```
Mg2Sn2Pb
1.0
-2.351 2.351 6.057
2.351 -2.351 6.057
2.351 2.351 -6.057
Mg Sn Pb
2 2 1
Cartesian
2.351 0.000 3.029
0.000 2.351 3.029
0.000 0.000 1.378
0.000 0.000 10.737
0.000 0.000 6.057
```

## ii
First-principles (GGA-PBEsol) data for Mg2Sn2Pb after structural relaxation, as listed in Alexandria.

Properties
DOS at the Fermi energy, states/eV/f.u.: 1.8

Cell and atoms, written as POSCAR:
```
Mg2Sn2Pb
1.0
8.754 0.000 0.000
0.000 8.754 0.000
0.000 0.000 3.290
Mg Sn Pb
4 4 2
Cartesian
1.171 3.206 0.000
3.206 7.583 0.000
5.548 1.171 0.000
7.583 5.548 0.000
1.419 5.796 1.645
2.959 1.419 1.645
5.796 7.336 1.645
7.336 2.959 1.645
0.000 0.000 1.645
4.377 4.377 1.645
```

Which one sits at the bottom of the stability order? i does.

## i
First-principles (GGA-PBEsol) data for Mg2TePb after structural relaxation, as listed in Alexandria.

Properties
DOS at the Fermi energy, states/eV/f.u.: 1.7

Cell and atoms, written as POSCAR:
```
Mg2TePb
1.0
3.270 -4.040 0.000
3.270 4.040 0.000
0.000 0.000 3.813
Mg Te Pb
2 1 1
Cartesian
1.635 2.020 0.000
1.635 -2.020 0.000
0.000 0.000 1.907
3.270 0.000 1.907
```

## ii
First-principles (GGA-PBEsol) data for Mg2TePb after structural relaxation, as listed in Alexandria.

Properties
DOS at the Fermi energy, states/eV/f.u.: 0.9

Cell and atoms, written as POSCAR:
```
Mg2TePb
1.0
1.969 1.137 7.907
-1.969 1.137 7.907
0.000 -2.273 7.907
Mg Te Pb
2 1 1
Cartesian
0.000 0.000 5.722
0.000 0.000 17.999
0.000 0.000 11.860
0.000 0.000 0.000
```

Which one sits at the bottom of the stability order? i does.

## i
First-principles (GGA-PBEsol) data for MgTlPb after structural relaxation, as listed in Alexandria.

Properties
DOS at the Fermi energy, states/eV/f.u.: 1.4

Cell and atoms, written as POSCAR:
```
MgTlPb
1.0
-1.717 1.717 6.711
1.717 -1.717 6.711
1.717 1.717 -6.711
Mg Tl Pb
1 1 1
Cartesian
0.000 0.000 0.000
0.000 0.000 4.602
0.000 0.000 8.839
```

## ii
First-principles (GGA-PBEsol) data for MgTlPb after structural relaxation, as listed in Alexandria.

Properties
DOS at the Fermi energy, states/eV/f.u.: 1.3

Cell and atoms, written as POSCAR:
```
MgTlPb
1.0
0.000 2.899 8.120
1.720 0.000 8.120
1.720 2.899 0.000
Mg Tl Pb
1 1 1
Cartesian
0.000 0.000 0.000
1.720 2.899 5.541
1.720 2.899 10.745
```

Which one sits at the bottom of the stability order? ii does.

## i
First-principles (GGA-PBEsol) data for MgTlPb after structural relaxation, as listed in Alexandria.

Properties
DOS at the Fermi energy, states/eV/f.u.: 1.1

Cell and atoms, written as POSCAR:
```
MgTlPb
1.0
5.239 0.000 0.000
-2.619 4.537 0.000
0.000 0.000 3.388
Mg Tl Pb
1 1 1
Cartesian
0.000 0.000 0.000
2.619 1.512 2.877
0.000 3.024 1.389
```

## ii
First-principles (GGA-PBEsol) data for MgTlPb after structural relaxation, as listed in Alexandria.

Properties
DOS at the Fermi energy, states/eV/f.u.: 1.3

Cell and atoms, written as POSCAR:
```
MgTlPb
1.0
-1.723 2.248 5.110
1.723 -2.248 5.110
1.723 2.248 -5.110
Mg Tl Pb
1 1 1
Cartesian
0.000 0.000 0.000
0.000 0.000 3.474
0.000 0.000 6.782
```

Which one sits at the bottom of the stability order? i does.

## i
First-principles (GGA-PBEsol) data for MgPbW2 after structural relaxation, as listed in Alexandria.

Properties
DOS at the Fermi energy, states/eV/f.u.: 3.0

Cell and atoms, written as POSCAR:
```
MgPbW2
1.0
4.915 -1.586 0.000
4.915 1.586 0.000
-0.755 0.000 4.730
Mg Pb W
1 1 2
Cartesian
0.000 0.000 0.000
4.538 0.000 2.365
1.868 0.000 3.720
7.207 0.000 1.010
```

## ii
First-principles (GGA-PBEsol) data for MgPbW2 after structural relaxation, as listed in Alexandria.

Properties
DOS at the Fermi energy, states/eV/f.u.: 2.0

Cell and atoms, written as POSCAR:
```
MgPbW2
1.0
-1.672 2.269 4.681
1.672 -2.269 4.681
1.672 2.269 -4.681
Mg Pb W
1 1 2
Cartesian
0.000 0.000 0.000
0.000 0.000 4.681
1.672 0.000 2.353
0.000 2.269 2.328
```

Which one sits at the bottom of the stability order? ii does.